1.
A plane-wave DFT calculation with PBE was carried out for crystalline InAuS at its relaxed geometry.

**ΔE_f (raw)**: -0.2052 eV/atom
**Theoretical density**: 9.072 g/cm3
**Volume**: 20.98 Å³/atom
**Space-group type**: P3m1 (156)
**Crystal system**: trigonal

a = 3.7634 Å, b = 3.7634 Å, c = 5.1316 Å
α = 90.00°, β = 90.00°, γ = 120.00°
Closest atoms and distances in Å follow each position.
Sites, in units of the cell vectors:
In 0.6667 0.3333 0.3449  3 S 2.70, 3 Au 2.81
S 0.3333 0.6667 0.6569  3 In 2.70, 3 Au 2.79
Au 0.0000 0.0000 0.9982  3 S 2.79, 3 In 2.81



2.
A plane-wave DFT calculation with PBE was carried out for crystalline In2AuS2 at its relaxed geometry.

**ΔE_f (raw)**: -0.0094 eV/atom
**Theoretical density**: 6.961 g/cm3
**Volume**: 23.41 Å³/atom
**Space-group type**: P4/mbm (127)
**Crystal system**: tetragonal

a = 7.7487 Å, b = 7.7487 Å, c = 3.8991 Å
α = 90.00°, β = 90.00°, γ = 90.00°
Closest atoms and distances in Å follow each position.
Sites, in units of the cell vectors:
S 0.7827 0.7173 0.0000  2 In 2.57, 2 Au 2.76
S 0.2173 0.2827 0.0000  2 In 2.57, 2 Au 2.76
S 0.7173 0.2173 0.0000  2 In 2.57, 2 Au 2.76
In 0.1302 0.6302 0.5000  2 S 2.57, 1 In 2.85
In 0.6302 0.8698 0.5000  2 S 2.57, 1 In 2.85
S 0.2827 0.7827 0.0000  2 In 2.57, 2 Au 2.76
In 0.8698 0.3698 0.5000  2 S 2.57, 1 In 2.85
Au 0.0000 0.0000 0.0000  4 S 2.76
In 0.3698 0.1302 0.5000  2 S 2.57, 1 In 2.85
Au 0.5000 0.5000 0.0000  4 S 2.76



3.
A plane-wave DFT calculation with PBE was carried out for crystalline In2AuS2 at its relaxed geometry.

**ΔE_f (raw)**: -0.0187 eV/atom
**Theoretical density**: 7.003 g/cm3
**Volume**: 23.27 Å³/atom
**Space-group type**: I4/mmm (139)
**Crystal system**: tetragonal

a = 5.2116 Å, b = 5.2116 Å, c = 5.6512 Å
α = 62.54°, β = 62.54°, γ = 90.00°
Closest atoms and distances in Å follow each position.
Sites, in units of the cell vectors:
Au 0.0000 0.0000 0.0000  2 In 2.88
In 0.3359 0.3359 0.3282  4 S 2.71, 1 In 2.81, 1 Au 2.88
S 0.2500 0.7500 0.5000  4 In 2.71
In 0.6641 0.6641 0.6718  4 S 2.71, 1 In 2.81, 1 Au 2.88
S 0.7500 0.2500 0.5000  4 In 2.71



4.
A plane-wave DFT calculation with PBE was carried out for crystalline In12Au3S5 at its relaxed geometry.

**ΔE_f (raw)**: -0.1599 eV/atom
**Theoretical density**: 6.249 g/cm3
**Volume**: 28.29 Å³/atom
**Space-group type**: Ia-3d (230)
**Crystal system**: cubic

a = 14.3253 Å, b = 14.3253 Å, c = 14.3253 Å
α = 109.47°, β = 109.47°, γ = 109.47°
Closest atoms and distances in Å follow each position.
Sites, in units of the cell vectors:
S 0.5000 0.5000 0.5000  6 In 2.85
In 0.7723 0.3313 0.9167  2 S 2.69-2.85, 2 Au 2.99-3.01
In 0.0590 0.6444 0.7277  2 S 2.69-2.85, 2 Au 2.99-3.01
Au 0.6250 0.3750 0.7500  8 In 2.99-3.01
In 0.2277 0.6687 0.0833  2 S 2.69-2.85, 2 Au 2.99-3.01
In 0.5590 0.3313 0.9146  2 S 2.69-2.85, 2 Au 2.99-3.01
Au 0.2500 0.1250 0.3750  8 In 2.99-3.01
S 0.8750 0.2500 0.6250  4 In 2.69
In 0.0854 0.9167 0.1444  2 S 2.69-2.85, 2 Au 2.99-3.01
In 0.4167 0.2723 0.3313  2 S 2.69-2.85, 2 Au 2.99-3.01
In 0.1687 0.0833 0.7277  2 S 2.69-2.85, 2 Au 2.99-3.01
In 0.0833 0.9146 0.3556  2 S 2.69-2.85, 2 Au 2.99-3.01
S 0.1250 0.3750 0.2500  4 In 2.69
In 0.4146 0.0590 0.3313  2 S 2.69-2.85, 2 Au 2.99-3.01
In 0.4410 0.6687 0.0854  2 S 2.69-2.85, 2 Au 2.99-3.01
In 0.8556 0.2723 0.4410  2 S 2.69-2.85, 2 Au 2.99-3.01
In 0.7277 0.5833 0.1687  2 S 2.69-2.85, 2 Au 2.99-3.01
In 0.7723 0.4410 0.3556  2 S 2.69-2.85, 2 Au 2.99-3.01
In 0.4167 0.1444 0.5854  2 S 2.69-2.85, 2 Au 2.99-3.01
In 0.7277 0.1444 0.0590  2 S 2.69-2.85, 2 Au 2.99-3.01
In 0.6687 0.4410 0.5854  2 S 2.69-2.85, 2 Au 2.99-3.01
Au 0.2500 0.6250 0.8750  8 In 2.99-3.01
Au 0.8750 0.7500 0.1250  8 In 2.99-3.01
S 0.1250 0.7500 0.3750  4 In 2.69
Au 0.7500 0.8750 0.6250  8 In 2.99-3.01
Au 0.8750 0.1250 0.2500  8 In 2.99-3.01
S 0.7500 0.1250 0.8750  4 In 2.69
In 0.4410 0.7723 0.8556  2 S 2.69-2.85, 2 Au 2.99-3.01
In 0.8556 0.5833 0.9146  2 S 2.69-2.85, 2 Au 2.99-3.01
S 0.0000 0.0000 0.0000  6 In 2.85
S 0.5000 0.5000 0.0000  6 In 2.85
In 0.9167 0.0854 0.6444  2 S 2.69-2.85, 2 Au 2.99-3.01
In 0.9146 0.8313 0.5590  2 S 2.69-2.85, 2 Au 2.99-3.01
Au 0.3750 0.7500 0.6250  8 In 2.99-3.01
In 0.2723 0.4167 0.8313  2 S 2.69-2.85, 2 Au 2.99-3.01
In 0.8313 0.9167 0.2723  2 S 2.69-2.85, 2 Au 2.99-3.01
In 0.9167 0.8313 0.7723  2 S 2.69-2.85, 2 Au 2.99-3.01
S 0.3750 0.1250 0.7500  4 In 2.69
In 0.3556 0.4146 0.0833  2 S 2.69-2.85, 2 Au 2.99-3.01
Au 0.1250 0.8750 0.7500  8 In 2.99-3.01
In 0.2723 0.8556 0.9410  2 S 2.69-2.85, 2 Au 2.99-3.01
S 0.7500 0.6250 0.3750  4 In 2.69
In 0.5854 0.9410 0.6687  2 S 2.69-2.85, 2 Au 2.99-3.01
In 0.8313 0.9146 0.0590  2 S 2.69-2.85, 2 Au 2.99-3.01
In 0.9410 0.5854 0.1687  2 S 2.69-2.85, 2 Au 2.99-3.01
In 0.1444 0.7277 0.5590  2 S 2.69-2.85, 2 Au 2.99-3.01
In 0.6444 0.5854 0.9167  2 S 2.69-2.85, 2 Au 2.99-3.01
In 0.9410 0.3556 0.2723  2 S 2.69-2.85, 2 Au 2.99-3.01
S 0.2500 0.3750 0.6250  4 In 2.69
In 0.1444 0.4167 0.0854  2 S 2.69-2.85, 2 Au 2.99-3.01
In 0.6444 0.0590 0.2277  2 S 2.69-2.85, 2 Au 2.99-3.01
Au 0.7500 0.3750 0.1250  8 In 2.99-3.01
In 0.0854 0.1687 0.4410  2 S 2.69-2.85, 2 Au 2.99-3.01
S 0.0000 0.0000 0.5000  6 In 2.85
In 0.1687 0.0854 0.9410  2 S 2.69-2.85, 2 Au 2.99-3.01
S 0.6250 0.7500 0.8750  4 In 2.69
In 0.6687 0.2277 0.5833  2 S 2.69-2.85, 2 Au 2.99-3.01
In 0.4146 0.3556 0.5833  2 S 2.69-2.85, 2 Au 2.99-3.01
S 0.0000 0.5000 0.5000  6 In 2.85
In 0.3556 0.9410 0.7723  2 S 2.69-2.85, 2 Au 2.99-3.01
S 0.3750 0.2500 0.1250  4 In 2.69
In 0.3313 0.5590 0.4146  2 S 2.69-2.85, 2 Au 2.99-3.01
In 0.2277 0.5590 0.6444  2 S 2.69-2.85, 2 Au 2.99-3.01
In 0.0833 0.1687 0.2277  2 S 2.69-2.85, 2 Au 2.99-3.01
S 0.6250 0.8750 0.2500  4 In 2.69
In 0.5833 0.7277 0.6687  2 S 2.69-2.85, 2 Au 2.99-3.01
In 0.5833 0.8556 0.4146  2 S 2.69-2.85, 2 Au 2.99-3.01
Au 0.3750 0.6250 0.2500  8 In 2.99-3.01
S 0.5000 0.0000 0.5000  6 In 2.85
S 0.0000 0.5000 0.0000  6 In 2.85
In 0.9146 0.0833 0.8556  2 S 2.69-2.85, 2 Au 2.99-3.01
In 0.3313 0.7723 0.4167  2 S 2.69-2.85, 2 Au 2.99-3.01
Au 0.1250 0.2500 0.8750  8 In 2.99-3.01
S 0.8750 0.6250 0.7500  4 In 2.69
S 0.5000 0.0000 0.0000  6 In 2.85
In 0.0590 0.4146 0.8313  2 S 2.69-2.85, 2 Au 2.99-3.01
In 0.5854 0.6444 0.4167  2 S 2.69-2.85, 2 Au 2.99-3.01
In 0.5590 0.2277 0.1444  2 S 2.69-2.85, 2 Au 2.99-3.01
Au 0.6250 0.2500 0.3750  8 In 2.99-3.01
S 0.2500 0.8750 0.1250  4 In 2.69



5.
A plane-wave DFT calculation with PBE was carried out for crystalline In3AuS3 at its relaxed geometry.

**ΔE_f (raw)**: -0.3149 eV/atom
**Theoretical density**: 5.786 g/cm3
**Volume**: 26.14 Å³/atom
**Space-group type**: R-3 (148)
**Crystal system**: trigonal

a = 6.7400 Å, b = 6.7400 Å, c = 10.0844 Å
α = 70.48°, β = 70.48°, γ = 60.00°
Closest atoms and distances in Å follow each position.
Sites, in units of the cell vectors:
S 0.2139 0.8905 0.3278  3 In 2.56-2.57
S 0.7861 0.1095 0.6722  3 In 2.56-2.57
In 0.0650 0.7224 0.8047  3 S 2.56-2.57, 2 Au 2.86-2.87
In 0.9350 0.2776 0.1953  3 S 2.56-2.57, 2 Au 2.86-2.87
In 0.2776 0.5921 0.1953  3 S 2.56-2.57, 2 Au 2.86-2.87
In 0.7224 0.4079 0.8047  3 S 2.56-2.57, 2 Au 2.86-2.87
Au 0.3333 0.3333 0.0001  6 In 2.86-2.87
S 0.4322 0.7861 0.6722  3 In 2.56-2.57
S 0.5678 0.2139 0.3278  3 In 2.56-2.57
In 0.4079 0.0650 0.8047  3 S 2.56-2.57, 2 Au 2.86-2.87
In 0.5921 0.9350 0.1953  3 S 2.56-2.57, 2 Au 2.86-2.87
Au 0.6667 0.6667 0.9999  6 In 2.86-2.87
S 0.8905 0.5678 0.3278  3 In 2.56-2.57
S 0.1095 0.4322 0.6722  3 In 2.56-2.57



6.
A plane-wave DFT calculation with PBE was carried out for crystalline InAuSeS at its relaxed geometry.

**ΔE_f (raw)**: -0.2286 eV/atom
**Theoretical density**: 6.141 g/cm3
**Volume**: 28.58 Å³/atom
**Space-group type**: Cm (8)
**Crystal system**: monoclinic

a = 4.3105 Å, b = 4.3105 Å, c = 7.3904 Å
α = 76.06°, β = 76.06°, γ = 60.09°
Closest atoms and distances in Å follow each position.
Sites, in units of the cell vectors:
S 0.4842 0.4842 0.0607  3 In 2.63
Se 0.0146 0.0146 0.5579  3 Au 2.50, 1 In 2.69
Au 0.3403 0.3403 0.5859  3 Se 2.50
In 0.1180 0.1180 0.1794  3 S 2.63, 1 Se 2.69



7.
A plane-wave DFT calculation with PBE was carried out for crystalline InTcAu2S at its relaxed geometry.

**ΔE_f (raw)**: 0.5590 eV/atom
**Theoretical density**: 10.062 g/cm3
**Volume**: 21.09 Å³/atom
**Space-group type**: P4/mmm (123)
**Crystal system**: tetragonal

a = 4.8841 Å, b = 4.4196 Å, c = 4.8841 Å
α = 90.00°, β = 90.00°, γ = 90.00°
Closest atoms and distances in Å follow each position.
Sites, in units of the cell vectors:
In 0.5000 0.5000 0.5000  8 Au 3.29, 4 Tc 3.45
Au 0.0000 0.0000 0.5000  2 S 2.44
S 0.0000 0.0000 0.0000  2 Tc 2.21, 4 Au 2.44
Tc 0.0000 0.5000 0.0000  2 S 2.21
Au 0.5000 0.0000 0.0000  2 S 2.44



8.
A plane-wave DFT calculation with PBE was carried out for crystalline InTe2AuS at its relaxed geometry.

**ΔE_f (raw)**: 0.4821 eV/atom
**Theoretical density**: 6.913 g/cm3
**Volume**: 28.78 Å³/atom
**Space-group type**: P4/mmm (123)
**Crystal system**: tetragonal

a = 5.2716 Å, b = 5.1781 Å, c = 5.2716 Å
α = 90.00°, β = 90.00°, γ = 90.00°
Closest atoms and distances in Å follow each position.
Sites, in units of the cell vectors:
Te 0.0000 0.0000 0.5000  2 S 2.64
Au 0.5000 0.5000 0.5000  8 Te 3.69, 4 In 3.73
In 0.0000 0.5000 0.0000  2 S 2.59
Te 0.5000 0.0000 0.0000  2 S 2.64
S 0.0000 0.0000 0.0000  2 In 2.59, 4 Te 2.64



9.
A plane-wave DFT calculation with PBE was carried out for crystalline InTeAuS at its relaxed geometry.

**ΔE_f (raw)**: -0.1111 eV/atom
**Theoretical density**: 6.630 g/cm3
**Volume**: 29.52 Å³/atom
**Space-group type**: Cm (8)
**Crystal system**: monoclinic

a = 4.2217 Å, b = 4.2217 Å, c = 7.6506 Å
α = 90.05°, β = 90.05°, γ = 60.00°
Closest atoms and distances in Å follow each position.
Sites, in units of the cell vectors:
S 0.5727 0.5727 0.0356  3 In 2.64
Au 0.2390 0.2390 0.5229  3 Te 2.64, 1 In 2.71
Te 0.9058 0.9058 0.6563  3 Au 2.64
In 0.2396 0.2396 0.1691  3 S 2.64, 1 Au 2.71



10.
A plane-wave DFT calculation with PBE was carried out for crystalline TlInAu2S at its relaxed geometry.

**ΔE_f (raw)**: 0.7832 eV/atom
**Theoretical density**: 7.536 g/cm3
**Volume**: 32.84 Å³/atom
**Space-group type**: P4/mmm (123)
**Crystal system**: tetragonal

a = 5.2603 Å, b = 5.9345 Å, c = 5.2603 Å
α = 90.00°, β = 90.00°, γ = 90.00°
Closest atoms and distances in Å follow each position.
Sites, in units of the cell vectors:
Au 0.5000 0.0000 0.0000  2 Tl 2.63
S 0.5000 0.5000 0.5000  4 In 3.72, 8 Au 3.97
Tl 0.0000 0.0000 0.0000  4 Au 2.63
In 0.0000 0.5000 0.0000  2 Tl 2.97
Au 0.0000 0.0000 0.5000  2 Tl 2.63



| no. | energy (eV per atom) |
| --- | --- |
| 1 | -3.59 |
| 2 | -3.41 |
| 3 | -3.42 |
| 4 | -3.33 |
| 5 | -3.73 |
| 6 | -3.64 |
| 7 | -4.20 |
| 8 | -2.80 |
| 9 | -3.43 |
| 10 | -2.37 |